# ErPaBe, relaxed, DFT PBE
data_ErPaBe
_chemical_formula_sum 'Er1 Pa1 Be1'
_space_group_name_H-M_alt 'P 1'
_space_group_IT_number 1
_space_group_name_Hall 'P 1'
_cell_length_a 6.814
_cell_length_b 6.814
_cell_length_c 6.814
_cell_angle_alpha 153.28
_cell_angle_beta 153.28
_cell_angle_gamma 38.15
loop_
_atom_site_label
_atom_site_type_symbol
_atom_site_fract_x
_atom_site_fract_y
_atom_site_fract_z
Er1 Er 0.000 0.000 0.000
Pa1 Pa 0.283 0.283 0.000
Be1 Be 0.643 0.643 0.000
# spin magnetization	0.00	μB per cell
# space group	I4mm (107)
# excess energy over the best structure of this formula in the dataset	0.009	eV/atom
# formation energy	217.9	meV per atom

---

# TbPmSn, relaxed, DFT PBE
data_TbPmSn
_chemical_formula_sum 'Tb2 Pm2 Sn2'
_space_group_name_H-M_alt 'P 1'
_space_group_IT_number 1
_space_group_name_Hall 'P 1'
_cell_length_a 6.372
_cell_length_b 6.372
_cell_length_c 5.858
_cell_angle_alpha 90.00
_cell_angle_beta 90.00
_cell_angle_gamma 95.62
loop_
_atom_site_label
_atom_site_type_symbol
_atom_site_fract_x
_atom_site_fract_y
_atom_site_fract_z
Tb1 Tb 0.169 0.831 0.000
Tb2 Tb 0.831 0.169 0.000
Pm1 Pm 0.000 0.000 0.500
Pm2 Pm 0.500 0.500 0.000
Sn1 Sn 0.341 0.341 0.500
Sn2 Sn 0.659 0.659 0.500
# spin magnetization	0.00	μB per cell
# space group	Cmmm (65)
# excess energy over the best structure of this formula in the dataset	1.143	eV/atom
# formation energy	532.9	meV per atom

---

# SrCr3B, relaxed, DFT PBE
data_SrCr3B
_chemical_formula_sum 'Sr1 Cr3 B1'
_space_group_name_H-M_alt 'P 1'
_space_group_IT_number 1
_space_group_name_Hall 'P 1'
_cell_length_a 4.389
_cell_length_b 4.389
_cell_length_c 4.389
_cell_angle_alpha 90.00
_cell_angle_beta 90.00
_cell_angle_gamma 90.00
loop_
_atom_site_label
_atom_site_type_symbol
_atom_site_fract_x
_atom_site_fract_y
_atom_site_fract_z
Sr1 Sr 0.000 0.000 0.000
Cr1 Cr 0.000 0.500 0.500
Cr2 Cr 0.500 0.000 0.500
Cr3 Cr 0.500 0.500 0.000
B1 B 0.500 0.500 0.500
# spin magnetization	9.74	μB per cell
# space group	Pm-3m (221)
# excess energy over the best structure of this formula in the dataset	0.000	eV/atom
# formation energy	714.3	meV per atom

---

# LiHgSb2Se4, relaxed, DFT PBE
data_LiHgSb2Se4
_chemical_formula_sum 'Li1 Hg1 Sb2 Se4'
_space_group_name_H-M_alt 'P 1'
_space_group_IT_number 1
_space_group_name_Hall 'P 1'
_cell_length_a 7.176
_cell_length_b 5.803
_cell_length_c 7.049
_cell_angle_alpha 67.08
_cell_angle_beta 48.14
_cell_angle_gamma 64.78
loop_
_atom_site_label
_atom_site_type_symbol
_atom_site_fract_x
_atom_site_fract_y
_atom_site_fract_z
Li1 Li 0.000 0.000 0.000
Hg1 Hg 0.500 0.500 0.500
Sb1 Sb 0.249 0.249 0.251
Sb2 Sb 0.749 0.749 0.751
Se1 Se 0.239 0.758 0.242
Se2 Se 0.498 0.999 0.502
Se3 Se 0.758 0.239 0.761
Se4 Se 0.999 0.498 0.001
# spin magnetization	0.00	μB per cell
# E	-27.20	eV per cell
# space group	Fmm2 (42)

---

# LaMgSc2, relaxed, DFT PBE
data_LaMgSc2
_chemical_formula_sum 'La1 Mg1 Sc2'
_space_group_name_H-M_alt 'P 1'
_space_group_IT_number 1
_space_group_name_Hall 'P 1'
_cell_length_a 4.743
_cell_length_b 4.743
_cell_length_c 4.876
_cell_angle_alpha 90.00
_cell_angle_beta 90.00
_cell_angle_gamma 90.00
loop_
_atom_site_label
_atom_site_type_symbol
_atom_site_fract_x
_atom_site_fract_y
_atom_site_fract_z
La1 La 0.000 0.000 0.000
Mg1 Mg 0.500 0.500 0.000
Sc1 Sc 0.000 0.500 0.500
Sc2 Sc 0.500 0.000 0.500
# spin magnetization	0.39	μB per cell
# space group	P4/mmm (123)
# formation energy	72.8	meV per atom

---

# Ca2TlSe, relaxed, DFT PBE
data_Ca2TlSe
_chemical_formula_sum 'Ca2 Tl1 Se1'
_space_group_name_H-M_alt 'P 1'
_space_group_IT_number 1
_space_group_name_Hall 'P 1'
_cell_length_a 5.620
_cell_length_b 5.620
_cell_length_c 5.620
_cell_angle_alpha 127.03
_cell_angle_beta 127.03
_cell_angle_gamma 78.20
loop_
_atom_site_label
_atom_site_type_symbol
_atom_site_fract_x
_atom_site_fract_y
_atom_site_fract_z
Ca1 Ca 0.250 0.750 0.500
Ca2 Ca 0.750 0.250 0.500
Tl1 Tl 0.000 0.000 0.000
Se1 Se 0.500 0.500 0.000
# spin magnetization	0.00	μB per cell
# space group	I4/mmm (139)
# excess energy over the best structure of this formula in the dataset	0.341	eV/atom

---

# MnNi5, relaxed, DFT PBE
data_MnNi5
_chemical_formula_sum 'Mn1 Ni5'
_space_group_name_H-M_alt 'P 1'
_space_group_IT_number 1
_space_group_name_Hall 'P 1'
_cell_length_a 2.528
_cell_length_b 2.528
_cell_length_c 10.540
_cell_angle_alpha 90.00
_cell_angle_beta 90.00
_cell_angle_gamma 90.00
loop_
_atom_site_label
_atom_site_type_symbol
_atom_site_fract_x
_atom_site_fract_y
_atom_site_fract_z
Mn1 Mn 0.000 0.000 0.000
Ni1 Ni 0.000 0.000 0.337
Ni2 Ni 0.000 0.000 0.663
Ni3 Ni 0.500 0.500 0.172
Ni4 Ni 0.500 0.500 0.500
Ni5 Ni 0.500 0.500 0.828
# spin magnetization	6.18	μB per cell
# space group	P4/mmm (123)
# formation energy	15.7	meV per atom

---

# Ti2As2Pd, relaxed, DFT PBE
data_Ti2As2Pd
_chemical_formula_sum 'Ti4 As4 Pd2'
_space_group_name_H-M_alt 'P 1'
_space_group_IT_number 1
_space_group_name_Hall 'P 1'
_cell_length_a 6.892
_cell_length_b 6.892
_cell_length_c 3.426
_cell_angle_alpha 90.00
_cell_angle_beta 90.00
_cell_angle_gamma 90.00
loop_
_atom_site_label
_atom_site_type_symbol
_atom_site_fract_x
_atom_site_fract_y
_atom_site_fract_z
Ti1 Ti 0.150 0.350 0.000
Ti2 Ti 0.350 0.850 0.000
Ti3 Ti 0.650 0.150 0.000
Ti4 Ti 0.850 0.650 0.000
As1 As 0.151 0.651 0.500
As2 As 0.349 0.151 0.500
As3 As 0.651 0.849 0.500
As4 As 0.849 0.349 0.500
Pd1 Pd 0.000 0.000 0.500
Pd2 Pd 0.500 0.500 0.500
# spin magnetization	0.00	μB per cell
# space group	P4/mbm (127)
# excess energy over the best structure of this formula in the dataset	0.054	eV/atom
# formation energy	-683.6	meV per atom